[1]
Density functional theory data (PBE-GGA) for crystalline Tb6GeTe3S2 at its relaxed geometry.

Values from the calculation:
- Raw total energy: -68.58 eV/cell
- Formation energy from raw total energies: -148.7 kJ per mole of atoms
- DOS(E_F): 0.387 states/eV per atom

a = 7.1536 Å, b = 7.1536 Å, c = 7.4779 Å
α = 99.16°, β = 99.16°, γ = 119.96°
With the nearest neighbours (Å) after each atom.
Positions (direct):
Tb: 0.9297 0.5941 0.7882  2 S 2.81, 1 Ge 2.83, 2 Te 3.14
Tb: 0.7342 0.7342 0.2101  2 S 2.81, 1 Ge 2.83, 1 Te 3.13
Tb: 0.0703 0.4059 0.2118  2 S 2.81, 1 Ge 2.83, 2 Te 3.14
Tb: 0.5941 0.9297 0.7882  2 S 2.81, 1 Ge 2.83, 2 Te 3.14
Tb: 0.2658 0.2658 0.7899  2 S 2.81, 1 Ge 2.83, 1 Te 3.13
Tb: 0.4059 0.0703 0.2118  2 S 2.81, 1 Ge 2.83, 2 Te 3.14
Ge: 0.0000 0.0000 0.0000  6 Tb 2.83
Te: 0.1653 0.8347 0.5000  6 Tb 3.14
Te: 0.8347 0.1653 0.5000  6 Tb 3.14
Te: 0.5000 0.5000 0.5000  6 Tb 3.13-3.15
S: 0.3330 0.6670 0.0000  6 Tb 2.81
S: 0.6670 0.3330 0.0000  6 Tb 2.81

[2]
Density functional theory data (PBE-GGA) for crystalline KPdPb2 at its relaxed geometry.

Values from the calculation:
- Raw total energy: -14.68 eV/cell
- DOS(E_F): 0.233 states/eV per atom

a = 4.6503 Å, b = 4.6503 Å, c = 7.3158 Å
α = 71.47°, β = 71.47°, γ = 60.00°
With the nearest neighbours (Å) after each atom.
Positions (direct):
K: 0.4974 0.4974 0.5079  1 Pd 3.53, 6 Pb 3.58-3.64
Pd: 0.6703 0.6703 0.9891  6 Pb 2.83-2.89
Pb: 0.0482 0.0482 0.8554  3 Pd 2.83
Pb: 0.2841 0.2841 0.1476  3 Pd 2.89

[3]
Density functional theory data (PBE-GGA) for crystalline Ca2Sm5Ho at its relaxed geometry.

Values from the calculation:
- Raw total energy: -31.75 eV/cell
- DOS(E_F): 1.438 states/eV per atom

a = 5.1618 Å, b = 5.1618 Å, c = 11.1329 Å
α = 103.40°, β = 103.40°, γ = 90.00°
With the nearest neighbours (Å) after each atom.
Positions (direct):
Ca: 0.7497 0.7497 0.4994  4 Ca 3.65, 8 Sm 3.80-3.81
Ca: 0.2503 0.2503 0.5006  4 Ca 3.65, 8 Sm 3.80-3.81
Sm: 0.5000 0.5000 0.0000  8 Sm 3.56, 4 Ho 3.65
Sm: 0.3832 0.8832 0.7663  2 Ho 3.56, 6 Sm 3.56-3.65, 4 Ca 3.80-3.81
Sm: 0.8832 0.3832 0.7663  6 Sm 3.56-3.65, 2 Ho 3.56, 4 Ca 3.80-3.81
Sm: 0.6168 0.1168 0.2337  2 Ho 3.56, 6 Sm 3.56-3.65, 4 Ca 3.80-3.81
Sm: 0.1168 0.6168 0.2337  6 Sm 3.56-3.65, 2 Ho 3.56, 4 Ca 3.80-3.81
Ho: 0.0000 0.0000 0.0000  12 Sm 3.56-3.65

[4]
Density functional theory data (PBE-GGA) for crystalline MnAgPS2 at its relaxed geometry.

Values from the calculation:
- Raw total energy: -17.71 eV/cell
- Formation energy from raw total energies: 153.9 kJ per mole of atoms
- DOS(E_F): 1.862 states/eV per atom

a = 4.7980 Å, b = 4.7980 Å, c = 4.6742 Å
α = 90.00°, β = 90.00°, γ = 90.00°
With the nearest neighbours (Å) after each atom.
Positions (direct):
P: 0.0000 0.0000 0.5000  2 Ag 2.34
S: 0.0000 0.5000 0.0000  2 Ag 2.40
S: 0.5000 0.0000 0.0000  2 Ag 2.40
Mn: 0.5000 0.5000 0.5000  8 S 3.35, 4 P 3.39
Ag: 0.0000 0.0000 0.0000  2 P 2.34, 4 S 2.40

[5]
Density functional theory data (PBE-GGA) for crystalline Na4CdSb3Se8 at its relaxed geometry.

Values from the calculation:
- Raw total energy: -56.63 eV/cell
- Formation energy from raw total energies: -61.5 kJ per mole of atoms
- DOS(E_F): 0.610 states/eV per atom

a = 8.2056 Å, b = 8.5324 Å, c = 8.2074 Å
α = 118.77°, β = 119.99°, γ = 90.00°
With the nearest neighbours (Å) after each atom.
Positions (direct):
Na: 0.5000 0.0000 0.0000  6 Se 3.05-3.06
Na: 0.5000 0.0000 0.5000  6 Se 3.03-3.06
Na: 0.0000 0.0000 0.0000  6 Se 3.03-3.05
Na: 0.0000 0.0000 0.5000  6 Se 3.03-3.06
Cd: 0.0000 0.5000 0.0000  6 Se 2.87
Sb: 0.5000 0.5000 0.0000  6 Se 2.87-2.89
Sb: 0.5000 0.5000 0.5000  6 Se 2.87-2.89
Sb: 0.0000 0.5000 0.5000  6 Se 2.87-2.89
Se: 0.2428 0.7282 0.9855  1 Cd 2.87, 2 Sb 2.87, 3 Na 3.05-3.06
Se: 0.2430 0.7283 0.4860  2 Sb 2.87, 1 Cd 2.87, 3 Na 3.05-3.06
Se: 0.2556 0.2667 0.5111  3 Sb 2.89, 3 Na 3.03
Se: 0.7428 0.7282 0.9855  1 Cd 2.87, 2 Sb 2.87, 3 Na 3.05-3.06
Se: 0.2572 0.2718 0.0145  1 Cd 2.87, 2 Sb 2.87, 3 Na 3.05-3.06
Se: 0.7444 0.7333 0.4889  3 Sb 2.89, 3 Na 3.03
Se: 0.7570 0.2717 0.5140  2 Sb 2.87, 1 Cd 2.87, 3 Na 3.05-3.06
Se: 0.7572 0.2718 0.0145  1 Cd 2.87, 2 Sb 2.87, 3 Na 3.05-3.06

[6]
Density functional theory data (PBE-GGA) for crystalline NiRuBr4 at its relaxed geometry.

Values from the calculation:
- Raw total energy: -12.33 eV/cell
- Formation energy from raw total energies: 151.5 kJ per mole of atoms
- DOS(E_F): 2.472 states/eV per atom

a = 6.0866 Å, b = 6.0866 Å, c = 6.0866 Å
α = 60.00°, β = 60.00°, γ = 60.00°
With the nearest neighbours (Å) after each atom.
Positions (direct):
Ni: 0.7500 0.7500 0.7500  12 Br 3.57, 4 Ru 3.73
Ru: 0.0000 0.0000 0.0000  12 Br 3.57, 4 Ni 3.73
Br: 0.8757 0.3748 0.3748  6 Br 3.04-3.05
Br: 0.3748 0.3748 0.8757  6 Br 3.04-3.05
Br: 0.3748 0.8757 0.3748  6 Br 3.04-3.05
Br: 0.3748 0.3748 0.3748  6 Br 3.04-3.05

[7]
Density functional theory data (PBE-GGA) for crystalline OsO4 at its relaxed geometry.

Values from the calculation:
- Raw total energy: -71.82 eV/cell
- Formation energy from raw total energies: -93.5 kJ per mole of atoms
- DOS(E_F): 0.000 states/eV per atom

a = 5.4863 Å, b = 5.4863 Å, c = 9.0910 Å
α = 66.88°, β = 66.88°, γ = 52.27°
With the nearest neighbours (Å) after each atom.
Positions (direct):
Os: 0.7474 0.2526 0.7500  4 O 1.72
Os: 0.2526 0.7474 0.2500  4 O 1.72
O: 0.0680 0.1603 0.8035  1 Os 1.72
O: 0.8397 0.9320 0.6965  1 Os 1.72
O: 0.9320 0.8397 0.1965  1 Os 1.72
O: 0.1603 0.0680 0.3035  1 Os 1.72
O: 0.6515 0.5690 0.5864  1 Os 1.72
O: 0.4310 0.3485 0.9136  1 Os 1.72
O: 0.3485 0.4310 0.4136  1 Os 1.72
O: 0.5690 0.6515 0.0864  1 Os 1.72

[8]
Density functional theory data (PBE-GGA) for crystalline AsOsRu2 at its relaxed geometry.

Values from the calculation:
- Raw total energy: -33.65 eV/cell
- DOS(E_F): 0.766 states/eV per atom

a = 5.1961 Å, b = 5.1961 Å, c = 5.1961 Å
α = 147.40°, β = 130.05°, γ = 60.93°
With the nearest neighbours (Å) after each atom.
Positions (direct):
Ru: 0.0033 0.0033 0.0000  4 As 2.63, 2 Os 2.87, 6 Ru 2.92-2.94
Ru: 0.7178 0.2178 0.5000  2 As 2.44, 4 Os 2.69
As: 0.5000 0.5000 0.0000  6 Ru 2.44-2.63, 2 Os 2.46
Os: 0.2788 0.7788 0.5000  2 As 2.46, 4 Ru 2.69

Which formula does entry 4 have?
MnAgPS2